{"formula": "NiAsN2O", "functional": "PBE+U", "state": "optimized geometry", "cell": [[3.741, 0.000, 0.000], [0.000, 3.741, 0.000], [0.000, 0.000, 3.760]], "species": ["Ni", "As", "N", "N", "O"], "fractional_positions": [[0.000, 0.000, 0.000], [0.500, 0.500, 0.500], [0.000, 0.500, 0.000], [0.500, 0.000, 0.000], [0.000, 0.000, 0.500]], "m_tot_mub_per_cell": 2.30, "vol_a3_per_atom": 10.52, "dft_energy_ev_per_atom": -4.493, "spacegroup": "P4/mmm (123)"}